# 1
First-principles (PBE) data for an optimized crystal structure of DyPuP2O8, as listed in Alexandria via LeMat-Bulk.

a b c (Å): 5.280 5.280 7.110
angles (deg): 90.00 90.00 120.00
Last column: magnetic moment on the atom in μB.
Fractional positions:
Dy (0.000, 0.000, 0.500)  0.01
Pu (0.000, 0.000, 0.000)  5.04
P (0.667, 0.333, 0.202)  0.00
P (0.333, 0.667, 0.798)  0.00
O (0.333, 0.667, 0.013)  -0.01
O (0.347, 0.174, 0.278)  -0.01
O (0.826, 0.174, 0.278)  -0.01
O (0.667, 0.333, 0.987)  -0.01
O (0.174, 0.826, 0.722)  -0.01
O (0.653, 0.826, 0.722)  -0.01
O (0.174, 0.347, 0.722)  -0.01
O (0.826, 0.653, 0.278)  -0.01

N(E_F) ... 6.420 states/eV per cell
Formation energy (no corrections) ... -2.77 eV/atom

# 2
First-principles (PBE) data for an optimized crystal structure of Fe2CuCl, as listed in Alexandria via LeMat-Bulk.

a b c (Å): 2.854 2.854 7.682
angles (deg): 90.00 90.00 113.93
Last column: magnetic moment on the atom in μB.
Fractional positions:
Fe (0.000, 0.000, 0.008)  2.75
Fe (0.500, 0.500, 0.243)  2.91
Cu (0.500, 0.500, 0.760)  0.06
Cl (0.000, 0.000, 0.489)  0.07

N(E_F) ... 2.432 states/eV per cell
Formation energy (no corrections) ... 0.27 eV/atom

# 3
First-principles (PBE) data for an optimized crystal structure of La3GaAg2, as listed in Alexandria via LeMat-Bulk.

a b c (Å): 5.392 5.392 13.210
angles (deg): 90.00 90.00 120.00
Last column: magnetic moment on the atom in μB.
Fractional positions:
La (0.333, 0.667, 0.418)  0.06
La (0.667, 0.333, 0.086)  0.06
La (0.000, 0.000, 0.747)  0.06
La (0.000, 0.000, 0.253)  0.06
La (0.333, 0.667, 0.914)  0.06
La (0.667, 0.333, 0.582)  0.06
Ga (0.333, 0.667, 0.666)  0.00
Ga (0.667, 0.333, 0.334)  0.00
Ag (0.000, 0.000, 0.500)  0.01
Ag (0.333, 0.667, 0.167)  0.01
Ag (0.667, 0.333, 0.833)  0.01
Ag (0.000, 0.000, 0.000)  0.01

N(E_F) ... 13.843 states/eV per cell
Energy of formation ... -362.0 meV/atom